[1]
Compound: TbBMoN2
Source: OQMD via LeMat-Bulk
Functional: PBE
Structure: relaxed

Raw total energy, eV/atom: -8.592
Space-group type: P2_1/m, No. 11
Magnetization, Bohr magnetons per cell: 0.00

The structure in extended XYZ format:
```
10
Lattice="5.859 0.000 0.000 0.000 3.114 0.000 -0.785 0.000 6.055" Properties=species:S:1:pos:R:3 pbc="T T T"
N 1.605 2.335 0.096
Mo 3.519 2.335 1.236
Tb 0.506 0.778 1.525
N 3.469 0.778 5.959
B 2.906 0.778 2.935
Tb 4.568 2.335 4.530
N 0.742 2.335 3.452
Mo 1.554 0.778 4.819
N 4.332 0.778 2.603
B 2.167 2.335 3.120
```

[2]
Compound: NaBMo
Source: OQMD via LeMat-Bulk
Functional: PBE
Structure: relaxed

Raw total energy, eV/atom: -5.109
Space-group type: F-43m, No. 216
Magnetization, Bohr magnetons per cell: 1.48

The structure in extended XYZ format:
```
3
Lattice="-2.115 0.683 3.274 -3.174 -2.221 0.804 0.100 -2.584 2.995" Properties=species:S:1:pos:R:3 pbc="T T T"
Na -3.892 -3.092 5.304
B 0.000 0.000 0.000
Mo -1.297 -1.031 1.768
```

[3]
Compound: NaB4Mo
Source: OQMD via LeMat-Bulk
Functional: PBE
Structure: relaxed

Raw total energy, eV/atom: -6.666
Space-group type: P6/mmm, No. 191
Magnetization, Bohr magnetons per cell: 0.01

The structure in extended XYZ format:
```
6
Lattice="-0.397 2.780 -1.056 -2.123 -1.281 1.689 3.262 2.844 6.258" Properties=species:S:1:pos:R:3 pbc="T T T"
B 0.794 2.115 5.266
Mo 1.631 1.422 3.129
B -0.628 0.875 2.539
Na 0.000 0.000 0.000
B 1.370 3.468 4.351
B -0.052 2.229 1.624
```

[4]
Compound: NaB4Mo
Source: OQMD via LeMat-Bulk
Functional: PBE
Structure: relaxed

Raw total energy, eV/atom: -6.485
Space-group type: Immm, No. 71
Magnetization, Bohr magnetons per cell: 0.00

The structure in extended XYZ format:
```
6
Lattice="-2.126 -4.028 0.446 -4.129 1.743 0.921 3.071 -0.315 -3.378" Properties=species:S:1:pos:R:3 pbc="T T T"
B -2.280 0.844 -0.399
B -0.905 -3.444 -1.612
B -1.215 -2.018 -0.650
Na 0.000 0.000 0.000
B -1.969 -0.581 -1.361
Mo -3.128 -1.142 0.683
```

[5]
Compound: NaBMoOs
Source: OQMD via LeMat-Bulk
Functional: PBE
Structure: relaxed

Raw total energy, eV/atom: -6.566
Space-group type: F-43m, No. 216
Magnetization, Bohr magnetons per cell: 0.00

The structure in extended XYZ format:
```
4
Lattice="0.463 1.348 4.005 -2.481 -1.573 3.072 1.643 -2.594 2.939" Properties=species:S:1:pos:R:3 pbc="T T T"
Os -0.187 -1.410 5.008
Mo -0.094 -0.705 2.504
B 0.000 0.000 0.000
Na -0.281 -2.115 7.512
```

[6]
Compound: NaBMoOs
Source: OQMD via LeMat-Bulk
Functional: PBE
Structure: relaxed

Raw total energy, eV/atom: -6.725
Space-group type: F-43m, No. 216
Magnetization, Bohr magnetons per cell: 0.00

The structure in extended XYZ format:
```
4
Lattice="0.000 2.979 2.979 2.979 0.000 2.979 2.979 2.979 0.000" Properties=species:S:1:pos:R:3 pbc="T T T"
Os 1.489 1.489 1.489
B 2.979 2.979 2.979
Mo 0.000 0.000 0.000
Na 4.468 4.468 4.468
```

[7]
Compound: Nb2B2Mo
Source: OQMD via LeMat-Bulk
Functional: PBE
Structure: relaxed

Raw total energy, eV/atom: -9.521
Space-group type: P4/mbm, No. 127
Magnetization, Bohr magnetons per cell: 0.00

The structure in extended XYZ format:
```
10
Lattice="-1.088 3.923 4.580 -6.021 -0.962 -0.606 0.178 -2.477 2.164" Properties=species:S:1:pos:R:3 pbc="T T T"
Nb -5.594 0.634 3.693
Nb -2.739 1.674 4.649
Mo -3.554 1.480 1.987
Mo 0.000 0.000 0.000
Nb -1.336 -0.150 2.445
B -5.796 0.679 1.254
B -2.477 0.048 0.259
B -4.632 2.913 3.716
B -1.313 2.282 2.720
Nb -4.192 -1.191 1.489
```

[8]
Compound: NbBMo2
Source: OQMD via LeMat-Bulk
Functional: PBE
Structure: relaxed

Raw total energy, eV/atom: -9.175
Space-group type: F-43m, No. 216
Magnetization, Bohr magnetons per cell: 0.00

The structure in extended XYZ format:
```
4
Lattice="-0.018 -0.226 4.319 -0.762 3.551 2.348 -3.719 0.399 2.171" Properties=species:S:1:pos:R:3 pbc="T T T"
Nb -1.125 0.931 2.209
B -2.250 1.862 4.419
Mo -3.374 2.793 6.628
Mo 0.000 0.000 0.000
```

[9]
Compound: NbBMo
Source: OQMD via LeMat-Bulk
Functional: PBE
Structure: relaxed

Raw total energy, eV/atom: -7.933
Space-group type: F-43m, No. 216
Magnetization, Bohr magnetons per cell: 0.01

The structure in extended XYZ format:
```
3
Lattice="0.000 2.913 2.913 2.913 0.000 2.913 2.913 2.913 0.000" Properties=species:S:1:pos:R:3 pbc="T T T"
B 1.457 1.457 1.457
Nb 4.370 4.370 4.370
Mo 0.000 0.000 0.000
```

[10]
Compound: NbNiBMo
Source: OQMD via LeMat-Bulk
Functional: PBE
Structure: relaxed

Raw total energy, eV/atom: -8.107
Space-group type: F-43m, No. 216
Magnetization, Bohr magnetons per cell: 0.00

The structure in extended XYZ format:
```
4
Lattice="0.000 2.950 2.950 2.950 0.000 2.950 2.950 2.950 0.000" Properties=species:S:1:pos:R:3 pbc="T T T"
Ni 2.950 2.950 2.950
Mo 4.425 4.425 4.425
B 0.000 0.000 0.000
Nb 1.475 1.475 1.475
```

[11]
Compound: NbNiBMo
Source: OQMD via LeMat-Bulk
Functional: PBE
Structure: relaxed

Raw total energy, eV/atom: -7.784
Space-group type: F-43m, No. 216
Magnetization, Bohr magnetons per cell: 0.00

The structure in extended XYZ format:
```
4
Lattice="0.598 -3.947 -1.318 -2.410 -1.583 -3.060 1.636 -0.721 -3.805" Properties=species:S:1:pos:R:3 pbc="T T T"
Ni -0.132 -4.688 -6.137
Mo -0.044 -1.563 -2.046
Nb -0.088 -3.125 -4.091
B 0.000 0.000 0.000
```

[12]
Compound: NdB4Mo
Source: OQMD via LeMat-Bulk
Functional: PBE
Structure: relaxed

Raw total energy, eV/atom: -7.444
Space-group type: P6/mmm, No. 191
Magnetization, Bohr magnetons per cell: 0.01

The structure in extended XYZ format:
```
6
Lattice="3.141 0.000 0.000 -1.570 2.720 0.000 0.000 0.000 7.476" Properties=species:S:1:pos:R:3 pbc="T T T"
Mo 0.000 0.000 3.738
Nd 0.000 0.000 0.000
B 1.570 0.907 5.343
B 0.000 1.813 5.343
B 1.570 0.907 2.133
B 0.000 1.813 2.133
```